[1]
CsHfGaI6: optimized geometry, PBE.

Cell lengths 8.0808, 8.0808, 16.7533 Å; angles 90.00, 90.00, 120.00 degrees
Closest atoms and distances in Å follow each position.
Positions (direct):
I1 0.3493 0.9632 0.6513  1 Hf 2.86
I2 0.9632 0.3493 0.1513  1 Hf 2.86
I3 0.6138 0.9632 0.8487  1 Hf 2.86
I4 0.9632 0.6138 0.3487  1 Hf 2.86
I5 0.3862 0.3493 0.3487  1 Hf 2.86
I6 0.0368 0.6507 0.8487  1 Hf 2.86
I7 0.6507 0.0368 0.3487  1 Hf 2.86
I8 0.0368 0.3862 0.6513  1 Hf 2.86
I9 0.3493 0.3862 0.8487  1 Hf 2.86
I10 0.3862 0.0368 0.1513  1 Hf 2.86
I11 0.6138 0.6507 0.6513  1 Hf 2.86
I12 0.6507 0.6138 0.1513  1 Hf 2.86
Ga1 0.3333 0.6667 0.2500  6 I 3.25
Ga2 0.6667 0.3333 0.7500  6 I 3.25
Hf1 0.6667 0.3333 0.2500  6 I 2.86
Hf2 0.3333 0.6667 0.7500  6 I 2.86
Cs1 0.0000 0.0000 0.5000  6 I 3.91
Cs2 0.0000 0.0000 0.0000  6 I 3.91

Its uncorrected formation energy is -0.94 eV per atom. Its space-group type is No. 163. As for the total energy: -63.127 eV per cell.

***

[2]
CsK2HfGa: optimized geometry, PBE.

Cell lengths 6.8083, 6.8083, 5.3132 Å; angles 90.00, 90.00, 90.00 degrees
Closest atoms and distances in Å follow each position.
Positions (direct):
K1 0.5000 0.0000 0.0000  2 Ga 3.40
K2 0.0000 0.5000 0.0000  2 Ga 3.40
Hf1 0.0000 0.0000 0.5000  2 Ga 2.66
Ga1 0.0000 0.0000 0.0000  2 Hf 2.66
Cs1 0.5000 0.5000 0.5000  8 K 4.32, 4 Hf 4.81

For the formation enthalpy at 0 K, the calculation gives 0.577 eV per atom. Its space-group type is No. 123. As for the total energy: -13.145 eV per cell.